Below is Y2ThMg3 after structural relaxation, with properties calculated at the PBE level.

Computed properties:
- VASP energy: -4.230 eV/atom
- Formation energy from the elements: -0.042 eV per atom
- Calculated volume: 27.699 Å³ per atom

a b c (Å): 3.7955 3.7955 11.5367
angles (deg): 90.00 90.00 90.00
Space group P4/mmm (No. 123)
Unique sites:
1 Y 0.0000 0.0000 0.1664
2 Th 0.0000 0.0000 0.5000
3 Mg 0.5000 0.5000 0.0000
4 Mg 0.5000 0.5000 0.3255



Below is Pr3Er2Zn2 after structural relaxation, with properties calculated at the PBE level.

Computed properties:
- VASP energy: -3.870 eV/atom
- Formation energy from the elements: -0.154 eV per atom
- Calculated volume: 28.752 Å³ per atom

a b c (Å): 3.6823 3.6823 29.6863
angles (deg): 90.00 90.00 90.00
Space group I4/mmm (No. 139)
Unique sites:
1 Pr 0.0000 0.0000 0.0000
2 Pr 0.0000 0.0000 0.1243
3 Er 0.0000 0.0000 0.2887
4 Zn 0.0000 0.0000 0.4372



Below is Ba2CaS after structural relaxation, with properties calculated at the PBE level.

Computed properties:
- VASP energy: -3.316 eV/atom
- Energy relative to the elements, uncorrected: -823 meV/atom
- Calculated volume: 46.755 Å³ per atom

a b c (Å): 4.2874 4.2874 35.2453
angles (deg): 90.00 90.00 120.00
Space group R-3m (No. 166, hexagonal axes)
Unique sites:
1 Ba 0.0000 0.0000 0.1134
2 Ca 0.0000 0.0000 0.0000
3 S 0.0000 0.0000 0.5000



Below is Co2MoAu after structural relaxation, with properties calculated at the PBE level.

Computed properties:
- VASP energy: -6.881 eV/atom
- Formation energy from the elements: 0.199 eV per atom
- Calculated volume: 13.776 Å³ per atom

a b c (Å): 2.7337 2.7337 7.3736
angles (deg): 90.00 90.00 90.00
Space group P4/mmm (No. 123)
Unique sites:
1 Co 0.0000 0.0000 0.2342
2 Mo 0.5000 0.5000 0.0000
3 Au 0.5000 0.5000 0.5000



Question: The lowest VASP energy belongs to which entry?
Answer: Co2MoAu



Question: Which of these has the lowest calculated volume?
Answer: Co2MoAu